Entry 1:
The following is a GGA-PBE calculation of Lu2Ge2O7 after structural relaxation, from OQMD via LeMat-Bulk.

Computed properties:
space-group type	P4_12_12 (92)

Lattice parameters (Å, degrees): 6.689 6.689 12.163 90.00 90.00 90.00
Sites, in units of the cell vectors:
1 O 0.662 0.934 0.930
2 Ge 0.148 0.897 0.383
3 Lu 0.128 0.642 0.636
4 O 0.325 0.857 0.043
5 Ge 0.852 0.103 0.883
6 Lu 0.358 0.872 0.864
7 Ge 0.897 0.148 0.617
8 Ge 0.603 0.648 0.633
9 Lu 0.142 0.372 0.386
10 O 0.461 0.421 0.371
11 Lu 0.642 0.128 0.364
12 Lu 0.628 0.858 0.114
13 Lu 0.372 0.142 0.614
14 Ge 0.397 0.352 0.133
15 O 0.825 0.643 0.707
16 O 0.162 0.566 0.820
17 O 0.838 0.434 0.320
18 Ge 0.103 0.852 0.117
19 O 0.579 0.539 0.129
20 O 0.357 0.175 0.793
21 O 0.921 0.039 0.121
22 O 0.857 0.325 0.957
23 O 0.175 0.357 0.207
24 O 0.566 0.162 0.180
25 Lu 0.858 0.628 0.886
26 O 0.800 0.200 0.750
27 O 0.421 0.461 0.629
28 O 0.039 0.921 0.879
29 O 0.700 0.700 0.500
30 O 0.961 0.079 0.379
31 O 0.079 0.961 0.621
32 O 0.539 0.579 0.871
33 O 0.200 0.800 0.250
34 O 0.066 0.338 0.570
35 O 0.675 0.143 0.543
36 O 0.143 0.675 0.457
37 O 0.934 0.662 0.070
38 O 0.434 0.838 0.680
39 O 0.338 0.066 0.430
40 O 0.643 0.825 0.293
41 Ge 0.352 0.397 0.867
42 O 0.300 0.300 0.000
43 Lu 0.872 0.358 0.136
44 Ge 0.648 0.603 0.367

***

Entry 2:
The following is a GGA-PBE calculation of LuGePO after structural relaxation, from OQMD via LeMat-Bulk.

Computed properties:
ΔE to the lowest computed polymorph	0.331	eV/atom
space-group type	P4/nmm (129)

Lattice parameters (Å, degrees): 5.375 5.375 4.725 90.00 90.00 90.00
Sites, in units of the cell vectors:
1 Ge 0.750 0.750 0.992
2 Lu 0.750 0.250 0.500
3 O 0.750 0.250 0.000
4 O 0.250 0.750 0.000
5 P 0.250 0.250 0.507
6 Ge 0.250 0.250 0.008
7 Lu 0.250 0.750 0.500
8 P 0.750 0.750 0.493

***

Entry 3:
The following is a GGA-PBE calculation of LuGePO after structural relaxation, from OQMD via LeMat-Bulk.

Computed properties:
ΔE to the lowest computed polymorph	0.117	eV/atom
space-group type	Pmc2_1 (26)

Lattice parameters (Å, degrees): 4.175 5.406 5.985 90.00 90.00 90.00
Sites, in units of the cell vectors:
1 Lu 0.500 0.268 0.583
2 Ge 0.000 0.860 0.475
3 O 0.500 0.080 0.900
4 P 0.000 0.571 0.796
5 O 0.500 0.920 0.400
6 P 0.000 0.429 0.296
7 Ge 0.000 0.140 0.975
8 Lu 0.500 0.732 0.083

***

no.,total moment (μB/cell),uncorrected energy (eV/atom)
1,0.00,-7.4574
2,0.00,-5.9829
3,0.00,-6.1971